A relaxed structure of CoSiW2. Source: Alexandria, functional GGA-PBE.

Cell: 9.4687 2.6935 4.5301 Å, 90.00 109.33 90.00°
Space group Cm (No. 8)
Symmetry-distinct sites (fractional):
Co: 0.0000 0.0000 0.0000 x2
Si: 0.3054 0.0000 0.6916 x2
W: 0.0511 0.5000 0.5276 x2
W: 0.2517 0.5000 0.1545 x2

## Properties
As for the formation energy from raw total energies: -0.050 eV per atom.


A relaxed structure of ZrCu3S4. Source: Alexandria, functional GGA-PBE.

Cell: 3.7716 8.4537 9.2050 Å, 90.00 90.00 90.00°
Space group Amm2 (No. 38)
Symmetry-distinct sites (fractional):
Zr: 0.0000 0.0000 0.0000 x2
Cu: 0.0000 0.0000 0.3440 x2
Cu: 0.5000 0.2124 0.6410 x4
S: 0.0000 0.2023 0.5065 x4
S: 0.5000 0.0000 0.2079 x2
S: 0.5000 0.0000 0.8052 x2

## Properties
As for the formation energy from raw total energies: -0.657 eV per atom.


A relaxed structure of Sc3TlPb. Source: Alexandria, functional GGA-PBE.

Cell: 5.3429 5.3429 5.3429 Å, 90.00 90.00 90.00°
Space group Pm-3m (No. 221)
Symmetry-distinct sites (fractional):
Sc: 0.0000 0.0000 0.5000 x3
Tl: 0.0000 0.0000 0.0000 x1
Pb: 0.5000 0.5000 0.5000 x1

## Properties
Its formation enthalpy at 0 K is 21.9 kJ/mol of atoms. Its energy relative to the lowest polymorph listed for this composition is 442.6 meV per atom.


A relaxed structure of TbEr2H. Source: Alexandria, functional GGA-PBE.

Cell: 3.3281 3.3281 8.4053 Å, 90.00 90.00 90.00°
Space group P4/mmm (No. 123)
Symmetry-distinct sites (fractional):
Tb: 0.0000 0.0000 0.0000 x1
Er: 0.5000 0.5000 0.3079 x2
H: 0.0000 0.0000 0.5000 x1

## Properties
Its energy relative to the lowest polymorph listed for this composition is 318.6 meV per atom.


A relaxed structure of Pr3Dy4Tm4. Source: Alexandria, functional GGA-PBE.

Cell: 10.6170 5.6963 12.0149 Å, 90.00 90.00 90.00°
Space group Amm2 (No. 38)
Symmetry-distinct sites (fractional):
Pr: 0.0000 0.0000 0.0000 x2
Pr: 0.2902 0.0000 0.1545 x4
Dy: 0.0000 0.0000 0.7022 x2
Dy: 0.2156 0.0000 0.4960 x4
Dy: 0.5000 0.0000 0.6347 x2
Tm: 0.0000 0.0000 0.3032 x2
Tm: 0.2974 0.0000 0.8491 x4
Tm: 0.5000 0.0000 0.3611 x2

## Properties
Its formation enthalpy at 0 K is 15.4 kJ/mol of atoms. Its energy relative to the lowest polymorph listed for this composition is 136.0 meV per atom.


A relaxed structure of Hf6GaSn3. Source: Alexandria, functional GGA-PBE.

Cell: 7.2297 7.3523 11.1929 Å, 90.00 129.68 90.00°
Space group P2_1/c (No. 14)
Symmetry-distinct sites (fractional):
Hf: 0.0264 0.0904 0.2566 x4
Hf: 0.1939 0.1659 0.0551 x4
Hf: 0.4029 0.6470 0.0527 x4
Ga: 0.0000 0.0000 0.5000 x2
Sn: 0.3157 0.6702 0.7460 x4
Sn: 0.5000 0.0000 0.0000 x2

## Properties
Its formation enthalpy at 0 K is -12.1 kJ/mol of atoms.


A relaxed structure of Ta2ZnP. Source: Alexandria, functional GGA-PBE.

Cell: 6.2795 6.2795 6.2795 Å, 90.00 90.00 90.00°
Space group Fm-3m (No. 225)
Symmetry-distinct sites (fractional):
Ta: 0.2500 0.2500 0.2500 x8
Zn: 0.0000 0.0000 0.0000 x4
P: 0.0000 0.0000 0.5000 x4

## Properties
Its formation enthalpy at 0 K is 3.2 kJ/mol of atoms.


A relaxed structure of CaAc6Sm4. Source: Alexandria, functional GGA-PBE.

Cell: 9.9662 9.9662 5.6443 Å, 90.00 90.00 120.00°
Space group P-6m2 (No. 187)
Symmetry-distinct sites (fractional):
Ca: 0.0000 0.0000 0.0000 x1
Ac: 0.1981 0.3962 0.5000 x3
Ac: 0.5297 0.0593 0.0000 x3
Sm: 0.3333 0.6667 0.0000 x1
Sm: 0.4296 0.2148 0.5000 x3

## Properties
Its formation enthalpy at 0 K is 32.3 kJ/mol of atoms.


A relaxed structure of TlHg2Pb2. Source: Alexandria, functional GGA-PBE.

Cell: 4.1995 4.1995 17.3566 Å, 90.00 90.00 90.00°
Space group I4/mmm (No. 139)
Symmetry-distinct sites (fractional):
Tl: 0.0000 0.0000 0.0000 x2
Hg: 0.0000 0.5000 0.2500 x4
Pb: 0.0000 0.0000 0.3980 x4

## Properties
Its formation enthalpy at 0 K is 8.5 kJ/mol of atoms. Its energy relative to the lowest polymorph listed for this composition is 74.2 meV per atom.


A relaxed structure of Ac2NbRu. Source: Alexandria, functional GGA-PBE.

Cell: 3.5271 3.5271 31.7990 Å, 90.00 90.00 120.00°
Space group R-3m (No. 166, hexagonal axes)
Symmetry-distinct sites (fractional):
Ac: 0.0000 0.0000 0.0979 x6
Nb: 0.0000 0.0000 0.0000 x3
Ru: 0.0000 0.0000 0.5000 x3

## Properties
Its formation enthalpy at 0 K is 90.7 kJ/mol of atoms.


A relaxed structure of Nd2H3Pt17. Source: Alexandria, functional GGA-PBE.

Cell: 9.3732 9.3732 13.5520 Å, 90.00 90.00 120.00°
Space group R-3m (No. 166, hexagonal axes)
Symmetry-distinct sites (fractional):
Nd: 0.0000 0.0000 0.1630 x6
H: 0.0000 0.5000 0.5000 x9
Pt: 0.0000 0.0000 0.3937 x6
Pt: 0.0000 0.3053 0.5000 x18
Pt: 0.0000 0.5000 0.0000 x9
Pt: 0.0045 0.5023 0.6592 x18

## Properties
Its total energy is -5.9127 eV/atom.


A relaxed structure of Na3UN3. Source: Alexandria, functional GGA-PBE.

Cell: 9.8487 10.1032 6.8973 Å, 90.00 133.84 90.00°
Space group C2/c (No. 15)
Symmetry-distinct sites (fractional):
Na: 0.0000 0.0364 0.2500 x4
Na: 0.2477 0.2493 0.7212 x8
U: 0.0000 0.4799 0.2500 x4
N: 0.0000 0.2798 0.2500 x4
N: 0.1885 0.4990 0.6973 x8

## Properties
As for the formation energy from raw total energies: -0.518 eV per atom.


Record-wise total magnetization values, in μB per cell: 0.0, 0.0, 0.0, 0.0, 0.0, 0.0, 0.0, 0.0, 0.0, 4.6, 0.0, 0.0